Density functional theory data (PBE) for an optimized crystal structure of Na3Sn5Se12.

Values from the calculation:
The value obtained for the density of states at the Fermi level is 0.73 states/eV/atom. The value obtained for the energy relative to the elements, uncorrected is -0.44 eV/atom. The total magnetization is 0.00 μB per formula unit. For the volume, the calculation gives 29.03 Å³/atom.

The structure in CIF format:
```
data_Na3Sn5Se12
_cell_length_a 14.449
_cell_length_b 14.449
_cell_length_c 14.449
_cell_angle_alpha 109.47
_cell_angle_beta 109.47
_cell_angle_gamma 109.47
_space_group_name_H-M_alt 'P 1'
_space_group_IT_number 1
_space_group_name_Hall 'P 1'
loop_
_atom_site_label
_atom_site_fract_x
_atom_site_fract_y
_atom_site_fract_z
Na1 0.125 0.250 0.375
Na2 0.125 0.375 0.750
Na3 0.250 0.375 0.125
Na4 0.250 0.875 0.625
Na5 0.375 0.125 0.250
Na6 0.375 0.750 0.125
Na7 0.625 0.250 0.875
Na8 0.625 0.875 0.750
Na9 0.750 0.125 0.375
Na10 0.750 0.625 0.875
Na11 0.875 0.625 0.250
Na12 0.875 0.750 0.625
Sn1 0.000 0.000 0.000
Sn2 0.000 0.000 0.500
Sn3 0.000 0.500 0.000
Sn4 0.000 0.500 0.500
Sn5 0.125 0.750 0.875
Sn6 0.125 0.875 0.250
Sn7 0.250 0.125 0.875
Sn8 0.250 0.625 0.375
Sn9 0.375 0.250 0.625
Sn10 0.375 0.625 0.750
Sn11 0.500 0.000 0.000
Sn12 0.500 0.000 0.500
Sn13 0.500 0.500 0.000
Sn14 0.500 0.500 0.500
Sn15 0.625 0.375 0.250
Sn16 0.625 0.750 0.375
Sn17 0.750 0.375 0.625
Sn18 0.750 0.875 0.125
Sn19 0.875 0.125 0.750
Sn20 0.875 0.250 0.125
Se1 0.038 0.213 0.124
Se2 0.038 0.326 0.914
Se3 0.086 0.624 0.411
Se4 0.086 0.962 0.674
Se5 0.089 0.713 0.674
Se6 0.089 0.876 0.414
Se7 0.124 0.038 0.213
Se8 0.124 0.586 0.911
Se9 0.174 0.213 0.589
Se10 0.174 0.462 0.586
Se11 0.213 0.124 0.038
Se12 0.213 0.589 0.174
Se13 0.287 0.326 0.911
Se14 0.287 0.462 0.376
Se15 0.326 0.911 0.287
Se16 0.326 0.914 0.038
Se17 0.376 0.287 0.462
Se18 0.376 0.589 0.914
Se19 0.411 0.086 0.624
Se20 0.411 0.826 0.787
Se21 0.414 0.089 0.876
Se22 0.414 0.826 0.538
Se23 0.462 0.376 0.287
Se24 0.462 0.586 0.174
Se25 0.538 0.414 0.826
Se26 0.538 0.624 0.713
Se27 0.586 0.174 0.462
Se28 0.586 0.911 0.124
Se29 0.589 0.174 0.213
Se30 0.589 0.914 0.376
Se31 0.624 0.411 0.086
Se32 0.624 0.713 0.538
Se33 0.674 0.086 0.962
Se34 0.674 0.089 0.713
Se35 0.713 0.538 0.624
Se36 0.713 0.674 0.089
Se37 0.787 0.411 0.826
Se38 0.787 0.876 0.962
Se39 0.826 0.538 0.414
Se40 0.826 0.787 0.411
Se41 0.876 0.414 0.089
Se42 0.876 0.962 0.787
Se43 0.911 0.124 0.586
Se44 0.911 0.287 0.326
Se45 0.914 0.038 0.326
Se46 0.914 0.376 0.589
Se47 0.962 0.674 0.086
Se48 0.962 0.787 0.876
```

---

Density functional theory data (PBE) for an optimized crystal structure of NaSn2Se2.

Values from the calculation:
The value obtained for the density of states at the Fermi level is 0.53 states/eV/atom. The value obtained for the energy relative to the elements, uncorrected is -0.39 eV/atom. The total magnetization is 0.00 μB per formula unit. For the volume, the calculation gives 26.87 Å³/atom. Its excess energy over the best structure of this formula in the dataset is 5 meV/atom.

The structure in CIF format:
```
data_NaSn2Se2
_cell_length_a 7.940
_cell_length_b 7.940
_cell_length_c 4.262
_cell_angle_alpha 90.00
_cell_angle_beta 90.00
_cell_angle_gamma 90.00
_space_group_name_H-M_alt 'P 1'
_space_group_IT_number 1
_space_group_name_Hall 'P 1'
loop_
_atom_site_label
_atom_site_fract_x
_atom_site_fract_y
_atom_site_fract_z
Na1 0.000 0.000 0.000
Na2 0.500 0.500 0.000
Sn1 0.150 0.350 0.500
Sn2 0.350 0.850 0.500
Sn3 0.650 0.150 0.500
Sn4 0.850 0.650 0.500
Se1 0.177 0.677 0.000
Se2 0.323 0.177 0.000
Se3 0.677 0.823 0.000
Se4 0.823 0.323 0.000
```

---

Density functional theory data (PBE) for an optimized crystal structure of Na2SnSe4.

Values from the calculation:
The value obtained for the density of states at the Fermi level is 0.32 states/eV/atom. The value obtained for the energy relative to the elements, uncorrected is -0.56 eV/atom. The total magnetization is 0.00 μB per formula unit. For the volume, the calculation gives 29.48 Å³/atom.

The structure in CIF format:
```
data_Na2SnSe4
_cell_length_a 7.104
_cell_length_b 4.002
_cell_length_c 7.899
_cell_angle_alpha 90.00
_cell_angle_beta 113.23
_cell_angle_gamma 90.00
_space_group_name_H-M_alt 'P 1'
_space_group_IT_number 1
_space_group_name_Hall 'P 1'
loop_
_atom_site_label
_atom_site_fract_x
_atom_site_fract_y
_atom_site_fract_z
Na1 0.206 0.000 0.345
Na2 0.794 0.000 0.655
Sn1 0.500 0.500 0.000
Se1 0.066 0.500 0.884
Se2 0.435 0.000 0.744
Se3 0.565 0.000 0.256
Se4 0.934 0.500 0.116
```

---

Density functional theory data (PBE) for an optimized crystal structure of NaSnSe3.

Values from the calculation:
The value obtained for the energy relative to the elements, uncorrected is -0.51 eV/atom. The total magnetization is 0.00 μB per formula unit. For the volume, the calculation gives 27.92 Å³/atom. Its excess energy over the best structure of this formula in the dataset is 0 meV/atom.

The structure in CIF format:
```
data_NaSnSe3
_cell_length_a 8.631
_cell_length_b 8.631
_cell_length_c 8.214
_cell_angle_alpha 106.50
_cell_angle_beta 106.50
_cell_angle_gamma 91.74
_space_group_name_H-M_alt 'P 1'
_space_group_IT_number 1
_space_group_name_Hall 'P 1'
loop_
_atom_site_label
_atom_site_fract_x
_atom_site_fract_y
_atom_site_fract_z
Na1 0.001 0.689 0.758
Na2 0.311 0.999 0.742
Na3 0.689 0.001 0.258
Na4 0.999 0.311 0.242
Sn1 0.219 0.781 0.250
Sn2 0.432 0.568 0.750
Sn3 0.568 0.432 0.250
Sn4 0.781 0.219 0.750
Se1 0.099 0.210 0.921
Se2 0.172 0.629 0.481
Se3 0.210 0.099 0.421
Se4 0.229 0.479 0.969
Se5 0.371 0.828 0.019
Se6 0.479 0.229 0.469
Se7 0.521 0.771 0.531
Se8 0.629 0.172 0.981
Se9 0.771 0.521 0.031
Se10 0.790 0.901 0.579
Se11 0.828 0.371 0.519
Se12 0.901 0.790 0.079
```

---

Density functional theory data (PBE) for an optimized crystal structure of NaSnSe2.

Values from the calculation:
The value obtained for the density of states at the Fermi level is 0.51 states/eV/atom. The value obtained for the energy relative to the elements, uncorrected is -0.66 eV/atom. The total magnetization is 0.00 μB per formula unit. For the volume, the calculation gives 26.11 Å³/atom.

The structure in CIF format:
```
data_NaSnSe2
_cell_length_a 7.730
_cell_length_b 7.730
_cell_length_c 7.730
_cell_angle_alpha 30.34
_cell_angle_beta 30.34
_cell_angle_gamma 30.34
_space_group_name_H-M_alt 'P 1'
_space_group_IT_number 1
_space_group_name_Hall 'P 1'
loop_
_atom_site_label
_atom_site_fract_x
_atom_site_fract_y
_atom_site_fract_z
Na1 0.000 0.000 0.000
Sn1 0.168 0.168 0.168
Se1 0.577 0.577 0.577
Se2 0.758 0.758 0.758
```

---

Density functional theory data (PBE) for an optimized crystal structure of NaSn2Se2.

Values from the calculation:
The value obtained for the density of states at the Fermi level is 0.22 states/eV/atom. The value obtained for the energy relative to the elements, uncorrected is -0.39 eV/atom. The total magnetization is 0.00 μB per formula unit. For the volume, the calculation gives 30.26 Å³/atom. Its excess energy over the best structure of this formula in the dataset is 0 meV/atom.

The structure in CIF format:
```
data_NaSn2Se2
_cell_length_a 6.244
_cell_length_b 6.244
_cell_length_c 6.244
_cell_angle_alpha 126.74
_cell_angle_beta 126.74
_cell_angle_gamma 78.67
_space_group_name_H-M_alt 'P 1'
_space_group_IT_number 1
_space_group_name_Hall 'P 1'
loop_
_atom_site_label
_atom_site_fract_x
_atom_site_fract_y
_atom_site_fract_z
Na1 0.000 0.000 0.000
Sn1 0.341 0.341 0.000
Sn2 0.659 0.659 0.000
Se1 0.250 0.750 0.500
Se2 0.750 0.250 0.500
```